Entry from the Alexandria database: a relaxed Tm2VOs3 crystal (PBE-GGA).

Unit cell a=5.4222 b=5.4222 c=8.3074 alpha=90.00 beta=90.00 gamma=120.00
Last column: nearest neighbours and their distance in Å.
Fractional positions:
Tm  0.3333  0.6667  0.0645  9 Os 3.03-3.12, 4 Tm 3.08-3.31, 3 V 3.18
Tm  0.3333  0.6667  0.4355  9 Os 3.03-3.12, 4 Tm 3.08-3.31, 3 V 3.18
Tm  0.6667  0.3333  0.5645  9 Os 3.03-3.12, 4 Tm 3.08-3.31, 3 V 3.18
Tm  0.6667  0.3333  0.9355  9 Os 3.03-3.12, 4 Tm 3.08-3.31, 3 V 3.18
V  0.0000  0.0000  0.0000  6 Os 2.62
V  0.0000  0.0000  0.5000  6 Os 2.62
Os  0.1703  0.3407  0.7500  2 V 2.62, 4 Os 2.65-2.77
Os  0.1703  0.8297  0.7500  2 V 2.62, 4 Os 2.65-2.77
Os  0.3407  0.1703  0.2500  2 V 2.62, 4 Os 2.65-2.77
Os  0.6593  0.8297  0.7500  2 V 2.62, 4 Os 2.65-2.77
Os  0.8297  0.1703  0.2500  2 V 2.62, 4 Os 2.65-2.77
Os  0.8297  0.6593  0.2500  2 V 2.62, 4 Os 2.65-2.77

* SG: No. 194
* total magnetization: 0.0 μB per cell
* calculated formation energy: -8.88 kcal/mol of atoms
* raw total energy: -108.12 eV per cell

---

Entry from the Alexandria database: a relaxed SrScBi2 crystal (PBE-GGA).

Unit cell a=4.6013 b=4.6013 c=22.5318 alpha=90.00 beta=90.00 gamma=120.00
Last column: nearest neighbours and their distance in Å.
Fractional positions:
Sr  0.0000  0.0000  0.0000  6 Bi 3.37-3.44
Sr  0.3333  0.6667  0.6667  6 Bi 3.37-3.44
Sr  0.6667  0.3333  0.3333  6 Bi 3.37-3.44
Sc  0.0000  0.0000  0.1714  6 Bi 3.09-3.14
Sc  0.3333  0.6667  0.8380  6 Bi 3.09-3.14
Sc  0.6667  0.3333  0.5047  6 Bi 3.09-3.14
Bi  0.0000  0.0000  0.4302  3 Sc 3.14, 1 Bi 3.25, 3 Sr 3.44
Bi  0.0000  0.0000  0.5744  3 Sc 3.09, 1 Bi 3.25, 3 Sr 3.37
Bi  0.3333  0.6667  0.0968  3 Sc 3.14, 1 Bi 3.25, 3 Sr 3.44
Bi  0.3333  0.6667  0.2410  3 Sc 3.09, 1 Bi 3.25, 3 Sr 3.37
Bi  0.6667  0.3333  0.7635  3 Sc 3.14, 1 Bi 3.25, 3 Sr 3.44
Bi  0.6667  0.3333  0.9077  3 Sc 3.09, 1 Bi 3.25, 3 Sr 3.37

* SG: No. 160
* total magnetization: 0.0 μB per cell
* calculated formation energy: -13.56 kcal/mol of atoms
* raw total energy: -54.38 eV per cell
* offset from the most stable computed form: 84 meV/atom

---

Entry from the Alexandria database: a relaxed Ac2HgRhAu crystal (PBE-GGA).

Unit cell a=8.2916 b=4.3511 c=8.4788 alpha=90.00 beta=113.34 gamma=90.00
Last column: nearest neighbours and their distance in Å.
Fractional positions:
Ac  0.0241  0.2500  0.2194  3 Rh 3.04-3.08, 2 Au 3.25
Ac  0.3636  0.7500  0.6300  2 Rh 3.03, 3 Au 3.30-3.39
Ac  0.6364  0.2500  0.3700  2 Rh 3.03, 3 Au 3.30-3.39
Ac  0.9759  0.7500  0.7806  3 Rh 3.04-3.08, 2 Au 3.25
Hg  0.3386  0.2500  0.9537  1 Rh 2.83, 2 Au 3.16
Hg  0.6614  0.7500  0.0463  1 Rh 2.83, 2 Au 3.16
Rh  0.1002  0.2500  0.6051  1 Hg 2.83, 2 Rh 2.89, 5 Ac 3.03-3.08
Rh  0.8998  0.7500  0.3949  1 Hg 2.83, 2 Rh 2.89, 5 Ac 3.03-3.08
Au  0.3117  0.7500  0.2127  2 Hg 3.16, 5 Ac 3.25-3.39
Au  0.6883  0.2500  0.7873  2 Hg 3.16, 5 Ac 3.25-3.39

* SG: No. 11
* total magnetization: 0.0 μB per cell
* calculated formation energy: -15.83 kcal/mol of atoms
* raw total energy: -45.16 eV per cell